Entry 1:
DFT (GGA-PBE) results for a relaxed NaLiH4Rh crystal.

As for the space group: I4mm. The final energy comes out at -26.38 eV per cell. For the mass density, the calculation gives 3.4 g/cm3. The value obtained for the density of states at the Fermi level is 1.74 states/eV/f.u.

Cell lengths 3.527, 3.527, 5.952 Å; angles 107.24, 107.24, 90.00 degrees
Positions (direct):
Rh 0.995 0.995 0.990
H 0.490 0.990 0.980
Na 0.650 0.650 0.300
H 0.990 0.490 0.980
Li 0.376 0.376 0.753
H 0.156 0.156 0.312
H 0.842 0.842 0.685



Entry 2:
DFT (GGA-PBE) results for a relaxed Na3Li2H6Rh crystal.

As for the space group: C2/m. The final energy comes out at -37.83 eV per cell. For the mass density, the calculation gives 2.5 g/cm3. The value obtained for the density of states at the Fermi level is 2.18 states/eV/f.u.

Cell lengths 5.338, 5.338, 5.495 Å; angles 98.20, 98.20, 121.13 degrees
Positions (direct):
H 0.776 0.776 0.187
H 0.224 0.224 0.813
Na 0.162 0.838 0.500
H 0.066 0.341 0.185
Rh 0.000 0.000 0.000
H 0.341 0.066 0.185
Li 0.668 0.332 0.000
H 0.934 0.659 0.815
Na 0.838 0.162 0.500
H 0.659 0.934 0.815
Na 0.500 0.500 0.500
Li 0.332 0.668 0.000



Entry 3:
DFT (GGA-PBE) results for a relaxed NaLiHRh2 crystal.

As for the space group: P4/mmm. For the mass density, the calculation gives 6.0 g/cm3. The calculation puts the energy above the most stable polymorph in this dataset at 14 meV/atom. The value obtained for the density of states at the Fermi level is 4.42 states/eV/f.u.

Cell lengths 3.817, 3.817, 4.509 Å; angles 90.00, 90.00, 90.00 degrees
Site moments in Bohr magnetons follow the coordinates.
Positions (direct):
H 0.000 0.000 0.000  0.00
Rh 0.500 0.000 0.000  0.12
Na 0.000 0.000 0.500  0.00
Li 0.500 0.500 0.500  0.00
Rh 0.000 0.500 0.000  0.12



Entry 4:
DFT (GGA-PBE) results for a relaxed NaLiHRh2 crystal.

As for the space group: P4/mmm. For the mass density, the calculation gives 4.3 g/cm3. The calculation puts the energy above the most stable polymorph in this dataset at 1740 meV/atom. The value obtained for the density of states at the Fermi level is 6.42 states/eV/f.u.

Cell lengths 4.760, 4.017, 4.760 Å; angles 90.00, 90.00, 90.00 degrees
Site moments in Bohr magnetons follow the coordinates.
Positions (direct):
Na 0.000 0.000 0.000  -0.01
Li 0.000 0.500 0.000  -0.01
H 0.500 0.500 0.500  0.00
Rh 0.500 0.000 0.000  0.57
Rh 0.000 0.000 0.500  0.70